No. 1
Compound: Li2TcSb
Source: the Alexandria database
Functional: PBE
Structure: relaxed

The structure in extended XYZ format:
```
4
Lattice="3.057 0.000 0.000 0.000 4.832 0.000 -0.288 0.000 4.543" Properties=species:S:1:pos:R:3 pbc="T T T"
Li 0.666 0.000 1.039
Li 2.102 0.000 3.504
Tc 1.528 2.416 0.000
Sb -0.144 2.416 2.271
```

## Properties
Raw total energy = -17.99 eV for the cell shown
Space-group type = P2/m, No. 10
Crystal system = monoclinic


No. 2
Compound: YCd2Ru
Source: the Alexandria database
Functional: PBE
Structure: relaxed

The structure in extended XYZ format:
```
4
Lattice="3.580 0.000 0.000 0.000 4.148 0.000 -1.779 0.000 5.879" Properties=species:S:1:pos:R:3 pbc="T T T"
Y 0.000 0.000 0.000
Cd 0.005 0.000 3.206
Cd 1.790 2.074 2.024
Ru 0.008 2.074 5.021
```

## Properties
Raw total energy = -17.81 eV for the cell shown
Space-group type = Pm, No. 6
Crystal system = monoclinic
Energy of formation = -0.059 eV/atom


no.,theoretical density (g/cm³)
1,5.8
2,7.9